# 1
A plane-wave DFT calculation with PBE-GGA was carried out for crystalline NaNiTe2I at its relaxed geometry.

Results
mass density	5.1	g/cm3
spin magnetization	0.0	μB per formula unit

Unit cell a=5.0527 b=5.0527 c=5.8685 alpha=90.00 beta=90.00 gamma=90.00
Closest atoms and distances in Å follow each position.
Space group P4/mmm (No. 123)
Unique sites:
Na 0.0000 0.0000 0.0000 x1  4 I 3.57, 8 Te 3.87
Ni 0.5000 0.5000 0.5000 x1  4 Te 2.53
Te 0.0000 0.5000 0.5000 x2  2 Ni 2.53
I 0.5000 0.5000 0.0000 x1  2 Ni 2.93

***

# 2
A plane-wave DFT calculation with PBE-GGA was carried out for crystalline NaNiTeI2 at its relaxed geometry.

Results
mass density	4.9	g/cm3
spin magnetization	0.9	μB per formula unit

Unit cell a=5.6208 b=5.6208 c=4.9659 alpha=90.00 beta=90.00 gamma=90.00
Closest atoms and distances in Å follow each position.
Space group P4/mmm (No. 123)
Unique sites:
Na 0.0000 0.0000 0.0000 x1  8 I 3.75, 4 Te 3.97
Ni 0.5000 0.5000 0.5000 x1  2 Te 2.48
Te 0.5000 0.5000 0.0000 x1  2 Ni 2.48
I 0.0000 0.5000 0.5000 x2  2 Ni 2.81

***

# 3
A plane-wave DFT calculation with PBE-GGA was carried out for crystalline NaNiTeI2 at its relaxed geometry.

Results
mass density	4.0	g/cm3
spin magnetization	3.0	μB per formula unit

Unit cell a=5.7919 b=5.7919 c=5.7939 alpha=90.00 beta=90.00 gamma=90.00
Closest atoms and distances in Å follow each position.
Space group P4/mmm (No. 123)
Unique sites:
Na 0.0000 0.0000 0.0000 x1  4 I 2.90, 2 Te 2.90
Ni 0.5000 0.5000 0.5000 x1  4 Te 4.10, 8 I 4.10
Te 0.0000 0.0000 0.5000 x1  2 Na 2.90
I 0.0000 0.5000 0.0000 x2  2 Na 2.90

***

# 4
A plane-wave DFT calculation with PBE-GGA was carried out for crystalline Na3Tl3NiI8 at its relaxed geometry.

Results
mass density	4.8	g/cm3
spin magnetization	2.0	μB per formula unit

Unit cell a=9.2887 b=9.2887 c=24.5065 alpha=90.00 beta=90.00 gamma=120.00
Closest atoms and distances in Å follow each position.
Space group R-3m (No. 166, hexagonal axes)
Unique sites:
Na 0.0000 0.5000 0.0000 x9  6 I 3.24-3.29
Tl 0.0000 0.5000 0.5000 x9  6 I 3.51-3.54
Ni 0.0000 0.0000 0.0000 x3  6 I 2.82
I 0.0000 0.0000 0.2593 x6  3 Na 3.24, 3 Tl 3.51
I 0.0440 0.5220 0.7319 x18  1 Ni 2.82

***

# 5
A plane-wave DFT calculation with PBE-GGA was carried out for crystalline NaNpI6 at its relaxed geometry.

Results
mass density	4.6	g/cm3
spin magnetization	2.0	μB per formula unit

Unit cell a=7.7151 b=7.7151 c=7.0830 alpha=90.00 beta=90.00 gamma=120.00
Closest atoms and distances in Å follow each position.
Space group P312 (No. 149)
Unique sites:
Na 0.0000 0.0000 0.0000 x1  6 I 3.28
Np 0.6667 0.3333 0.5000 x1  6 I 2.94
I 0.3596 0.0179 0.7385 x6  1 Np 2.94, 1 Na 3.28

***

# 6
A plane-wave DFT calculation with PBE-GGA was carried out for crystalline NaNp2I8 at its relaxed geometry.

Results
mass density	4.5	g/cm3
spin magnetization	7.0	μB per formula unit

Unit cell a=10.1594 b=10.1594 c=6.2019 alpha=90.00 beta=90.00 gamma=120.00
Closest atoms and distances in Å follow each position.
Space group P-3 (No. 147)
Unique sites:
Na 0.0000 0.0000 0.0000 x1  6 I 3.33
Np 0.3333 0.6667 0.2355 x2  5 I 2.93-3.17
I 0.1660 0.8323 0.2539 x6  1 Np 2.93
I 0.3333 0.6667 0.7471 x2  2 Np 3.03-3.17

***

# 7
A plane-wave DFT calculation with PBE-GGA was carried out for crystalline NaNpI2 at its relaxed geometry.

Results
mass density	5.5	g/cm3
spin magnetization	5.1	μB per formula unit

Unit cell a=4.0191 b=4.0191 c=33.1686 alpha=90.00 beta=90.00 gamma=120.00
Closest atoms and distances in Å follow each position.
Space group R-3m (No. 166, hexagonal axes)
Unique sites:
Na 0.0000 0.0000 0.0000 x3  2 I 3.37
Np 0.0000 0.0000 0.5000 x3  6 I 3.17
I 0.0000 0.0000 0.1015 x6  3 Np 3.17, 1 Na 3.37

***

# 8
A plane-wave DFT calculation with PBE-GGA was carried out for crystalline Na3NpI7 at its relaxed geometry.

Results
mass density	3.6	g/cm3
spin magnetization	3.0	μB per formula unit

Unit cell a=15.7391 b=9.2560 c=8.1234 alpha=90.00 beta=112.47 gamma=90.00
Closest atoms and distances in Å follow each position.
Space group Cm (No. 8)
Unique sites:
Na 0.0000 0.0000 0.0000 x2  5 I 3.01-3.36
Na 0.4768 0.2257 0.5507 x4  5 I 3.00-3.30
Np 0.4708 0.0000 0.0411 x2  6 I 3.01-3.05
I 0.0747 0.0000 0.7101 x2  3 Na 3.00-3.01
I 0.0884 0.2663 0.2799 x4  1 Np 3.02, 2 Na 3.28-3.30
I 0.0982 0.5000 0.8406 x2  1 Np 3.03, 2 Na 3.18
I 0.3506 0.0000 0.2602 x2  1 Np 3.05, 2 Na 3.21
I 0.3531 0.2314 0.8000 x4  1 Np 3.01, 2 Na 3.30-3.36

***

no.,E (eV for the cell shown)
1,-15.55
2,-14.41
3,-9.63
4,-121.23
5,-29.67
6,-47.85
7,-57.77
8,-77.69